# Na3Pm2MoO6, relaxed, DFT PBE with a Hubbard U
# mass density: 5.297 g/cm3
# total DFT energy (no corrections): -78.067 eV/f.u.
# magnetic moment: 6.0 μB per cell
data_Na3Pm2MoO6
_space_group_name_H-M_alt 'C 1 2/m 1'
_space_group_IT_number 12
_cell_length_a 5.953
_cell_length_b 10.336
_cell_length_c 5.938
_cell_angle_alpha 90.00
_cell_angle_beta 109.05
_cell_angle_gamma 90.00
loop_
_space_group_symop_operation_xyz
'x,y,z'
'-x,-y,-z'
'-x,y,-z'
'x,-y,z'
'x+1/2,y+1/2,z'
'-x+1/2,-y+1/2,-z'
'-x+1/2,y+1/2,-z'
'x+1/2,-y+1/2,z'
loop_
_atom_site_label
_atom_site_fract_x
_atom_site_fract_y
_atom_site_fract_z
Na1 0.000 0.000 0.000
Na2 0.000 0.346 0.000
Pm1 0.000 0.167 0.500
Mo1 0.000 0.500 0.500
O1 0.228 0.342 0.716
O2 0.247 0.500 0.287